[1]
## TbNpAl (PBE)

Data for crystalline TbNpAl at its relaxed geometry.

calculated total energy	-7.114	eV/atom
calculated formation energy	-0.01	eV per atom

Cell: 5.131 3.555 7.761 Å, 90.00 98.38 90.00°
Fractional positions:
Tb: 0.038 0.250 0.184
Tb: 0.962 0.750 0.816
Np: 0.344 0.750 0.514
Np: 0.656 0.250 0.486
Al: 0.475 0.250 0.859
Al: 0.525 0.750 0.141

[2]
## TbNpAl6 (PBE)

Data for crystalline TbNpAl6 at its relaxed geometry.

calculated total energy	-5.274	eV/atom
calculated formation energy	-0.27	eV per atom

Cell: 6.183 6.183 4.681 Å, 90.00 90.00 120.00°
Fractional positions:
Tb: 0.000 0.000 0.000
Np: 0.333 0.667 0.500
Al: 0.365 0.182 0.500
Al: 0.513 0.026 0.000
Al: 0.513 0.487 0.000
Al: 0.818 0.182 0.500
Al: 0.818 0.635 0.500
Al: 0.974 0.487 0.000

[3]
## Np2Al2Te7 (PBE)

Data for crystalline Np2Al2Te7 at its relaxed geometry.

calculated total energy	-5.339	eV/atom
energy relative to the elements, uncorrected	-3.4	eV/f.u.

Cell: 7.729 7.729 7.209 Å, 97.08 97.08 102.09°
Fractional positions:
Np: 0.200 0.800 0.000
Np: 0.800 0.200 0.000
Al: 0.259 0.259 0.594
Al: 0.741 0.741 0.406
Te: 0.043 0.424 0.760
Te: 0.102 0.102 0.246
Te: 0.424 0.043 0.760
Te: 0.500 0.500 0.500
Te: 0.576 0.957 0.240
Te: 0.898 0.898 0.754
Te: 0.957 0.576 0.240

[4]
## NpAlTe2 (PBE)

Data for crystalline NpAlTe2 at its relaxed geometry.

calculated total energy	-5.795	eV/atom
energy relative to the elements, uncorrected	-0.2	eV/f.u.

Cell: 4.229 4.229 28.740 Å, 90.00 90.00 120.00°
Fractional positions:
Np: 0.000 0.000 0.000
Np: 0.333 0.667 0.667
Np: 0.667 0.333 0.333
Al: 0.000 0.000 0.500
Al: 0.333 0.667 0.167
Al: 0.667 0.333 0.833
Te: 0.000 0.000 0.398
Te: 0.000 0.000 0.602
Te: 0.333 0.667 0.064
Te: 0.333 0.667 0.269
Te: 0.667 0.333 0.731
Te: 0.667 0.333 0.936

[5]
## NpAlTe4 (PBE)

Data for crystalline NpAlTe4 at its relaxed geometry.

calculated total energy	-5.173	eV/atom
energy relative to the elements, uncorrected	-1.8	eV/f.u.

Cell: 7.460 7.439 6.763 Å, 90.00 97.56 90.00°
Fractional positions:
Np: 0.000 0.000 0.000
Np: 0.000 0.500 0.500
Al: 0.500 0.000 0.500
Al: 0.500 0.500 0.000
Te: 0.199 0.183 0.373
Te: 0.199 0.317 0.873
Te: 0.305 0.717 0.261
Te: 0.305 0.783 0.761
Te: 0.695 0.217 0.239
Te: 0.695 0.283 0.739
Te: 0.801 0.683 0.127
Te: 0.801 0.817 0.627

[6]
## NpAl2Te6 (PBE)

Data for crystalline NpAl2Te6 at its relaxed geometry.

calculated total energy	-4.642	eV/atom
energy relative to the elements, uncorrected	-2.5	eV/f.u.

Cell: 9.691 9.691 7.611 Å, 96.77 96.77 76.60°
Fractional positions:
Np: 0.108 0.892 0.750
Np: 0.892 0.108 0.250
Al: 0.197 0.358 0.637
Al: 0.358 0.197 0.137
Al: 0.642 0.803 0.863
Al: 0.803 0.642 0.363
Te: 0.015 0.192 0.625
Te: 0.075 0.595 0.819
Te: 0.192 0.015 0.125
Te: 0.244 0.433 0.327
Te: 0.405 0.925 0.681
Te: 0.433 0.244 0.827
Te: 0.567 0.756 0.173
Te: 0.595 0.075 0.319
Te: 0.756 0.567 0.673
Te: 0.808 0.985 0.875
Te: 0.925 0.405 0.181
Te: 0.985 0.808 0.375

[7]
## NpAlTe (PBE)

Data for crystalline NpAlTe at its relaxed geometry.

calculated total energy	-6.892	eV/atom
energy relative to the elements, uncorrected	-0.9	eV/f.u.

Cell: 3.797 17.689 4.444 Å, 90.00 90.00 90.00°
Fractional positions:
Np: 0.000 0.108 0.250
Np: 0.000 0.892 0.750
Np: 0.500 0.392 0.750
Np: 0.500 0.608 0.250
Al: 0.000 0.467 0.250
Al: 0.000 0.533 0.750
Al: 0.500 0.033 0.750
Al: 0.500 0.967 0.250
Te: 0.000 0.315 0.250
Te: 0.000 0.685 0.750
Te: 0.500 0.185 0.750
Te: 0.500 0.815 0.250

[8]
## Np3AlTe6 (PBE)

Data for crystalline Np3AlTe6 at its relaxed geometry.

calculated total energy	-6.688	eV/atom
energy relative to the elements, uncorrected	-5.5	eV/f.u.

Cell: 9.699 9.699 7.315 Å, 90.00 90.00 101.66°
Fractional positions:
Np: 0.101 0.899 0.500
Np: 0.226 0.419 0.408
Np: 0.419 0.226 0.908
Np: 0.581 0.774 0.408
Np: 0.774 0.581 0.908
Np: 0.899 0.101 0.000
Al: 0.296 0.704 0.859
Al: 0.704 0.296 0.359
Te: 0.060 0.594 0.686
Te: 0.130 0.195 0.705
Te: 0.195 0.130 0.205
Te: 0.279 0.721 0.220
Te: 0.406 0.940 0.686
Te: 0.461 0.539 0.719
Te: 0.539 0.461 0.219
Te: 0.594 0.060 0.186
Te: 0.721 0.279 0.720
Te: 0.805 0.870 0.705
Te: 0.870 0.805 0.205
Te: 0.940 0.406 0.186

- Which value of calculated total energy does entry 5 give?
  -5.173 eV/atom